Run a
The following is a DFT calculation (GGA-PBE) of crystalline Na4LiTl at its relaxed geometry.

Unit cell a=6.6931 b=6.3773 c=9.9989 alpha=71.40 beta=81.38 gamma=61.97
Closest atoms and distances in Å follow each position.
Atoms (fractional coordinates):
Li (0.7500, 0.8750, 0.2500)  2 Tl 3.19, 8 Na 3.44-3.46
Na (0.2614, 0.7071, 0.0714)  4 Na 3.17-3.51, 2 Tl 3.35-3.43, 2 Li 3.44-3.46
Na (0.2386, 0.2215, 0.0714)  4 Na 3.17-3.51, 2 Tl 3.35-3.43, 2 Li 3.44-3.46
Na (0.7386, 0.2929, 0.9286)  4 Na 3.17-3.51, 2 Tl 3.35-3.43, 2 Li 3.44-3.46
Li (0.2500, 0.1250, 0.7500)  2 Tl 3.19, 8 Na 3.44-3.46
Na (0.2614, 0.5315, 0.4285)  4 Na 3.17-3.49, 2 Tl 3.35-3.43, 2 Li 3.44-3.46
Tl (0.2500, 0.6250, 0.7500)  2 Li 3.19, 8 Na 3.35-3.43
Na (0.2386, 0.0399, 0.4285)  4 Na 3.17-3.49, 2 Tl 3.35-3.43, 2 Li 3.44-3.46
Na (0.7614, 0.9601, 0.5715)  4 Na 3.17-3.49, 2 Tl 3.35-3.43, 2 Li 3.44-3.46
Tl (0.7500, 0.3750, 0.2500)  2 Li 3.19, 8 Na 3.35-3.43
Na (0.7614, 0.7785, 0.9286)  4 Na 3.17-3.51, 2 Tl 3.35-3.43, 2 Li 3.44-3.46
Na (0.7386, 0.4685, 0.5715)  4 Na 3.17-3.49, 2 Tl 3.35-3.43, 2 Li 3.44-3.46

=====

Run b
The following is a DFT calculation (GGA-PBE) of crystalline Na4LiTl at its relaxed geometry.

Unit cell a=6.4068 b=6.4068 c=6.4068 alpha=60.00 beta=60.00 gamma=60.00
Closest atoms and distances in Å follow each position.
Atoms (fractional coordinates):
Li (0.0000, 0.0000, 0.0000)  12 Na 3.76, 4 Tl 3.92
Na (0.6246, 0.1263, 0.6246)  6 Na 3.19-3.21
Na (0.6246, 0.6246, 0.1263)  6 Na 3.19-3.21
Na (0.1263, 0.6246, 0.6246)  6 Na 3.19-3.21
Tl (0.2500, 0.2500, 0.2500)  12 Na 3.76, 4 Li 3.92
Na (0.6246, 0.6246, 0.6246)  6 Na 3.19-3.21

=====

Run c
The following is a DFT calculation (GGA-PBE) of crystalline Na4LiTl at its relaxed geometry.

Unit cell a=7.0055 b=6.1700 c=10.0954 alpha=97.81 beta=101.39 gamma=119.29
Closest atoms and distances in Å follow each position.
Atoms (fractional coordinates):
Tl (0.2858, 0.5358, 0.0716)  6 Na 3.26-3.46, 4 Li 3.31-3.35
Na (0.8044, 0.5490, 0.6093)  5 Na 3.32-3.62, 1 Tl 3.46, 1 Li 3.62
Na (0.8896, 0.1323, 0.7704)  2 Li 3.19-3.26, 2 Tl 3.26-3.32, 4 Na 3.33-3.45
Na (0.3049, 0.0604, 0.6093)  5 Na 3.32-3.62, 1 Tl 3.46, 1 Li 3.62
Na (0.3808, 0.6381, 0.7704)  2 Li 3.19-3.26, 2 Tl 3.26-3.32, 4 Na 3.33-3.45
Li (0.7771, 0.0271, 0.0543)  4 Na 3.19-3.26, 4 Tl 3.31-3.35
Li (0.2229, 0.9729, 0.9457)  4 Na 3.19-3.26, 4 Tl 3.31-3.35
Na (0.6192, 0.3619, 0.2296)  2 Li 3.19-3.26, 2 Tl 3.26-3.32, 4 Na 3.33-3.45
Na (0.1956, 0.4510, 0.3906)  5 Na 3.32-3.62, 1 Tl 3.46, 1 Li 3.62
Na (0.6951, 0.9396, 0.3906)  5 Na 3.32-3.62, 1 Tl 3.46, 1 Li 3.62
Na (0.1104, 0.8677, 0.2296)  2 Li 3.19-3.26, 2 Tl 3.26-3.32, 4 Na 3.33-3.45
Tl (0.7142, 0.4642, 0.9284)  6 Na 3.26-3.46, 4 Li 3.31-3.35

=====

Most stable = run c

=====

Run a
The following is a DFT calculation (GGA-PBE) of crystalline NaLi4Tl at its relaxed geometry.

Unit cell a=5.6444 b=5.6444 c=5.6444 alpha=60.00 beta=60.00 gamma=60.00
Closest atoms and distances in Å follow each position.
Atoms (fractional coordinates):
Na (0.2500, 0.2500, 0.2500)  12 Li 3.31, 4 Tl 3.46
Tl (0.0000, 0.0000, 0.0000)  12 Li 3.31, 4 Na 3.46
Li (0.6265, 0.1206, 0.6265)  6 Li 2.79-2.86
Li (0.6265, 0.6265, 0.6265)  6 Li 2.79-2.86
Li (0.1206, 0.6265, 0.6265)  6 Li 2.79-2.86
Li (0.6265, 0.6265, 0.1206)  6 Li 2.79-2.86

=====

Run b
The following is a DFT calculation (GGA-PBE) of crystalline NaLi4Tl at its relaxed geometry.

Unit cell a=3.6953 b=4.8304 c=7.5021 alpha=90.04 beta=75.60 gamma=90.00
Closest atoms and distances in Å follow each position.
Atoms (fractional coordinates):
Na (0.1621, 0.9983, 0.4236)  9 Li 3.05-3.41
Li (0.6812, 0.4981, 0.3879)  2 Tl 2.98-2.99, 4 Na 3.05-3.06, 4 Li 3.24-3.31
Li (0.4855, 0.9962, 0.7811)  6 Li 2.83-3.05
Li (0.9992, 0.4964, 0.7555)  2 Tl 2.91, 6 Li 3.04-3.26
Tl (0.3430, 0.4974, 0.0649)  10 Li 2.91-3.18
Li (0.8367, 0.9973, 0.0758)  2 Li 2.83, 4 Tl 3.04, 2 Na 3.13

=====

Most stable = run b

=====

Run a
The following is a DFT calculation (GGA-PBE) of crystalline NaLiTm at its relaxed geometry.

Unit cell a=3.4995 b=3.4995 c=14.2372 alpha=90.00 beta=90.00 gamma=90.00
Closest atoms and distances in Å follow each position.
Atoms (fractional coordinates):
Li (0.0000, 0.5000, 0.2594)  4 Tm 3.35, 4 Na 3.36, 4 Li 3.50
Na (0.5000, 0.0000, 0.1001)  4 Li 3.36, 4 Na 3.50
Na (0.0000, 0.5000, 0.8999)  4 Li 3.36, 4 Na 3.50
Tm (0.0000, 0.5000, 0.5824)  4 Li 3.35, 8 Tm 3.41-3.50
Tm (0.5000, 0.0000, 0.4176)  4 Li 3.35, 8 Tm 3.41-3.50
Li (0.5000, 0.0000, 0.7406)  4 Tm 3.35, 4 Na 3.36, 4 Li 3.50

=====

Run b
The following is a DFT calculation (GGA-PBE) of crystalline NaLiTm at its relaxed geometry.

Unit cell a=3.3938 b=3.3938 c=8.6474 alpha=90.00 beta=90.00 gamma=120.00
Closest atoms and distances in Å follow each position.
Atoms (fractional coordinates):
Tm (0.0000, 0.0000, 0.0188)  3 Li 3.29, 6 Tm 3.39
Na (0.3333, 0.6667, 0.6574)  6 Na 3.39, 3 Li 3.49, 3 Tm 3.69
Li (0.6667, 0.3333, 0.3238)  3 Tm 3.29, 6 Li 3.39, 3 Na 3.49

=====

Most stable = run a

=====

Run a
The following is a DFT calculation (GGA-PBE) of crystalline Na2LiV at its relaxed geometry.

Unit cell a=5.2859 b=5.2859 c=5.2859 alpha=60.00 beta=60.00 gamma=60.00
Closest atoms and distances in Å follow each position.
Atoms (fractional coordinates):
Na (0.2500, 0.2500, 0.2500)  4 V 3.24, 4 Li 3.24
V (0.5000, 0.5000, 0.5000)  8 Na 3.24
Li (0.0000, 0.0000, 0.0000)  8 Na 3.24
Na (0.7500, 0.7500, 0.7500)  4 V 3.24, 4 Li 3.24

=====

Run b
The following is a DFT calculation (GGA-PBE) of crystalline Na2LiV at its relaxed geometry.

Unit cell a=8.2451 b=8.2451 c=6.5665 alpha=51.11 beta=51.11 gamma=90.00
Closest atoms and distances in Å follow each position.
Atoms (fractional coordinates):
V (0.0000, 0.0000, 0.0000)  2 Li 3.02, 4 Na 3.13
Li (0.2500, 0.7500, 0.5000)  4 Na 2.89, 2 V 3.02
V (0.7500, 0.2500, 0.5000)  2 Li 3.02, 4 Na 3.13
Li (0.5000, 0.5000, 0.0000)  4 Na 2.89, 2 V 3.02
Na (0.3750, 0.3961, 0.7500)  2 Li 2.89, 2 Na 3.04, 2 V 3.13
Na (0.1461, 0.6250, 0.2500)  2 Li 2.89, 2 Na 3.04, 2 V 3.13
Na (0.6039, 0.1250, 0.2500)  2 Li 2.89, 2 Na 3.04, 2 V 3.13
Na (0.8750, 0.8539, 0.7500)  2 Li 2.89, 2 Na 3.04, 2 V 3.13

=====

Most stable = run a

=====

Run a
The following is a DFT calculation (GGA-PBE) of crystalline NaLiW3 at its relaxed geometry.

Unit cell a=4.5634 b=4.5634 c=4.5634 alpha=90.00 beta=90.00 gamma=90.00
Closest atoms and distances in Å follow each position.
Atoms (fractional coordinates):
Li (0.5000, 0.5000, 0.5000)  12 W 3.23
Na (0.0000, 0.0000, 0.0000)  6 W 2.28
W (0.0000, 0.5000, 0.0000)  2 Na 2.28
W (0.0000, 0.0000, 0.5000)  2 Na 2.28
W (0.5000, 0.0000, 0.0000)  2 Na 2.28

=====

Run b
The following is a DFT calculation (GGA-PBE) of crystalline NaLiW3 at its relaxed geometry.

Unit cell a=4.3527 b=4.3527 c=4.3527 alpha=90.00 beta=90.00 gamma=90.00
Closest atoms and distances in Å follow each position.
Atoms (fractional coordinates):
Na (0.5000, 0.5000, 0.5000)  12 W 3.08
Li (0.0000, 0.0000, 0.0000)  6 W 2.18
W (0.0000, 0.0000, 0.5000)  2 Li 2.18
W (0.5000, 0.0000, 0.0000)  2 Li 2.18
W (0.0000, 0.5000, 0.0000)  2 Li 2.18

=====

Most stable = run b

=====

Run a
The following is a DFT calculation (GGA-PBE) of crystalline Na2LiW at its relaxed geometry.

Unit cell a=5.2507 b=5.2507 c=5.2507 alpha=60.00 beta=60.00 gamma=60.00
Closest atoms and distances in Å follow each position.
Atoms (fractional coordinates):
Na (0.2500, 0.2500, 0.2500)  4 W 3.22, 4 Li 3.22
Li (0.0000, 0.0000, 0.0000)  8 Na 3.22
W (0.5000, 0.5000, 0.5000)  8 Na 3.22
Na (0.7500, 0.7500, 0.7500)  4 W 3.22, 4 Li 3.22

=====

Run b
The following is a DFT calculation (GGA-PBE) of crystalline Na2LiW at its relaxed geometry.

Unit cell a=8.2651 b=8.2651 c=6.5484 alpha=50.87 beta=50.87 gamma=90.00
Closest atoms and distances in Å follow each position.
Atoms (fractional coordinates):
Na (0.8750, 0.8460, 0.7500)  2 Li 2.86, 2 Na 2.99, 2 W 3.18
Na (0.1540, 0.6250, 0.2500)  2 Li 2.86, 2 Na 2.99, 2 W 3.18
Li (0.5000, 0.5000, 0.0000)  4 Na 2.86, 2 W 2.95
Na (0.3750, 0.4040, 0.7500)  2 Li 2.86, 2 Na 2.99, 2 W 3.18
W (0.7500, 0.2500, 0.5000)  2 Li 2.95, 4 Na 3.18
Na (0.5960, 0.1250, 0.2500)  2 Li 2.86, 2 Na 2.99, 2 W 3.18
Li (0.2500, 0.7500, 0.5000)  4 Na 2.86, 2 W 2.95
W (0.0000, 0.0000, 0.0000)  2 Li 2.95, 4 Na 3.18

=====

Most stable = run a